The following is a PBE calculation of a geometry-optimized Ta3Cl structure, from Alexandria.

Properties
- symmetry = P2/m
- DOS(E_F) (states/eV/f.u.) = 3.6
- size of the total moment (μB per atom) = 0.000
- formation energy from raw total energies (meV per atom) = 335

a b c (Å): 2.9312 4.7335 5.3186
angles (deg): 90.00 99.90 90.00
Fractional coordinates of all 4 atoms:
Ta: 0.0000 0.0000 0.0000
Ta: 0.2645 0.5000 0.7609
Ta: 0.7355 0.5000 0.2391
Cl: 0.0000 0.0000 0.5000